No. 1
This record from the Alexandria database describes Rb3La3DyTe8 after structural relaxation. The functional is PBE-GGA.

a = 9.268 Å, b = 9.277 Å, c = 10.255 Å
α = 116.97°, β = 90.00°, γ = 119.97°
Fractional positions:
Te1 0.772 0.545 0.300
La1 0.500 0.000 0.500
Te2 0.228 0.455 0.700
Rb1 0.500 0.500 0.000
Dy1 0.000 0.000 0.500
Te3 0.255 0.028 0.300
Rb2 0.000 0.000 0.000
Rb3 0.000 0.500 0.000
Te4 0.736 0.472 0.708
La2 0.000 0.500 0.500
Te5 0.264 0.528 0.292
Te6 0.228 0.972 0.700
Te7 0.772 0.028 0.300
Te8 0.745 0.972 0.700
La3 0.500 0.500 0.500

Its density of states at the Fermi level is 12.5 states/eV per cell. As for the total magnetic moment: 0.00 μB per cell. For the total DFT energy (no corrections), the calculation gives -68.1 eV/cell.

***

No. 2
This record from the Alexandria database describes PmF3 after structural relaxation. The functional is PBE-GGA.

a = 7.027 Å, b = 7.027 Å, c = 7.210 Å
α = 90.00°, β = 90.00°, γ = 120.00°
Fractional positions:
F1 0.308 0.373 0.080
F2 0.667 0.333 0.183
Pm1 0.345 0.345 0.750
F3 0.667 0.333 0.683
F4 0.692 0.627 0.920
F5 0.934 0.627 0.420
F6 0.627 0.934 0.080
Pm2 0.345 0.000 0.250
F7 0.692 0.066 0.420
Pm3 0.000 0.345 0.250
F8 0.000 0.000 0.750
F9 0.373 0.066 0.920
F10 0.373 0.308 0.420
F11 0.308 0.934 0.580
Pm4 0.000 0.655 0.750
F12 0.333 0.667 0.317
F13 0.627 0.692 0.580
F14 0.066 0.373 0.580
Pm5 0.655 0.655 0.250
F15 0.333 0.667 0.817
F16 0.000 0.000 0.250
F17 0.934 0.308 0.920
F18 0.066 0.692 0.080
Pm6 0.655 0.000 0.750

Its density of states at the Fermi level is 0.0 states/eV per cell. As for the total magnetic moment: 0.00 μB per cell. For the total DFT energy (no corrections), the calculation gives -160.9 eV/cell.

***

No. 3
This record from the Alexandria database describes BeIn2Cu after structural relaxation. The functional is PBE-GGA.

a = 4.203 Å, b = 4.205 Å, c = 3.965 Å
α = 90.00°, β = 90.00°, γ = 90.00°
Fractional positions:
Cu1 0.000 0.500 0.500
In1 0.000 0.000 0.000
Be1 0.500 0.000 0.500
In2 0.500 0.500 0.000

Its density of states at the Fermi level is 1.4 states/eV per cell. Its formation energy is 0.400 eV/atom. As for the total magnetic moment: 0.00 μB per cell. For the total DFT energy (no corrections), the calculation gives -11.7 eV/cell.

***

No. 4
This record from the Alexandria database describes BaMg2UO6 after structural relaxation. The functional is PBE-GGA.

a = 6.653 Å, b = 7.498 Å, c = 7.498 Å
α = 87.11°, β = 75.30°, γ = 75.30°
Fractional positions:
O1 0.210 0.005 0.755
O2 0.190 0.584 0.721
U1 0.250 0.284 0.716
O3 0.810 0.416 0.279
Ba1 0.250 0.901 0.099
O4 0.790 0.995 0.245
U2 0.750 0.716 0.284
Mg1 0.362 0.765 0.627
Mg2 0.862 0.627 0.765
Mg3 0.138 0.373 0.235
Mg4 0.638 0.235 0.373
O5 0.930 0.357 0.778
O6 0.570 0.222 0.643
Ba2 0.750 0.099 0.901
O7 0.070 0.643 0.222
O8 0.290 0.245 0.995
O9 0.430 0.778 0.357
O10 0.690 0.721 0.584
O11 0.710 0.755 0.005
O12 0.310 0.279 0.416

Its density of states at the Fermi level is 0.0 states/eV per cell. As for the total magnetic moment: 0.00 μB per cell. For the total DFT energy (no corrections), the calculation gives -148.9 eV/cell.

***

No. 5
This record from the Alexandria database describes CsIn2AgTe4 after structural relaxation. The functional is PBE-GGA.

a = 6.691 Å, b = 8.937 Å, c = 8.937 Å
α = 43.97°, β = 68.02°, γ = 68.02°
Fractional positions:
Te1 0.149 0.851 0.438
Ag1 0.500 0.500 0.500
In1 0.750 0.750 0.750
In2 0.250 0.250 0.250
Cs1 0.000 0.000 0.000
Te2 0.438 0.149 0.562
Te3 0.851 0.562 0.149
Te4 0.562 0.438 0.851

Its density of states at the Fermi level is 5.7 states/eV per cell. As for the total magnetic moment: 0.00 μB per cell. For the total DFT energy (no corrections), the calculation gives -24.5 eV/cell.

***

No. 6
This record from the Alexandria database describes Ac12TlSn7 after structural relaxation. The functional is PBE-GGA.

a = 9.799 Å, b = 9.799 Å, c = 9.799 Å
α = 107.86°, β = 107.86°, γ = 107.86°
Fractional positions:
Ac1 0.021 0.241 0.337
Ac2 0.378 0.208 0.673
Ac3 0.327 0.622 0.792
Ac4 0.208 0.673 0.378
Sn1 0.901 0.365 0.018
Ac5 0.979 0.759 0.663
Ac6 0.673 0.378 0.208
Ac7 0.792 0.327 0.622
Ac8 0.337 0.021 0.241
Sn2 0.982 0.099 0.635
Sn3 0.365 0.018 0.901
Ac9 0.759 0.663 0.979
Ac10 0.663 0.979 0.759
Ac11 0.622 0.792 0.327
Sn4 0.500 0.500 0.500
Sn5 0.635 0.982 0.099
Ac12 0.241 0.337 0.021
Sn6 0.018 0.901 0.365
Tl1 0.000 0.000 0.000
Sn7 0.099 0.635 0.982

Its density of states at the Fermi level is 21.8 states/eV per cell. Its formation energy is -0.437 eV/atom. As for the total magnetic moment: 0.00 μB per cell. For the total DFT energy (no corrections), the calculation gives -88.4 eV/cell.

***

No. 7
This record from the Alexandria database describes In2AgBr2 after structural relaxation. The functional is PBE-GGA.

a = 7.864 Å, b = 7.864 Å, c = 4.912 Å
α = 90.00°, β = 90.00°, γ = 90.00°
Fractional positions:
Ag1 0.000 0.000 0.000
In1 0.188 0.312 0.000
Ag2 0.500 0.500 0.000
In2 0.812 0.688 0.000
Br1 0.339 0.161 0.500
In3 0.688 0.188 0.000
In4 0.312 0.812 0.000
Br2 0.661 0.839 0.500
Br3 0.161 0.661 0.500
Br4 0.839 0.339 0.500

Its density of states at the Fermi level is 2.9 states/eV per cell. As for the total magnetic moment: 0.00 μB per cell. For the total DFT energy (no corrections), the calculation gives -26.1 eV/cell.

***

No. 8
This record from the Alexandria database describes RbPrOsO6 after structural relaxation. The functional is PBE-GGA.

a = 5.833 Å, b = 5.833 Å, c = 6.038 Å
α = 90.01°, β = 89.99°, γ = 59.99°
Fractional positions:
O1 0.586 0.352 0.680
O2 0.352 0.586 0.320
O3 0.586 0.061 0.320
Pr1 0.667 0.667 0.500
O4 0.352 0.061 0.680
Rb1 0.000 0.000 0.000
Os1 0.333 0.333 0.500
O5 0.061 0.352 0.320
O6 0.061 0.587 0.680

As for the total magnetic moment: 0.00 μB per cell. For the total DFT energy (no corrections), the calculation gives -62.2 eV/cell.

***

No. 9
This record from the Alexandria database describes Ba3SrTe4 after structural relaxation. The functional is PBE-GGA.

a = 4.950 Å, b = 8.575 Å, c = 8.575 Å
α = 109.46°, β = 90.00°, γ = 90.00°
Fractional positions:
Ba1 0.500 0.500 0.500
Te1 0.500 0.245 0.755
Te2 0.000 0.759 0.759
Ba2 0.000 0.500 0.000
Ba3 0.000 0.000 0.500
Sr1 0.500 0.000 0.000
Te3 0.000 0.241 0.241
Te4 0.500 0.755 0.245

Its density of states at the Fermi level is 0.0 states/eV per cell. As for the total magnetic moment: 0.00 μB per cell. For the total DFT energy (no corrections), the calculation gives -34.2 eV/cell.

***

No. 10
This record from the Alexandria database describes Dy12Tl5Ni2 after structural relaxation. The functional is PBE-GGA.

a = 7.500 Å, b = 9.224 Å, c = 9.678 Å
α = 103.38°, β = 90.00°, γ = 113.99°
Site moments in Bohr magnetons follow the coordinates.
Fractional positions:
Dy1 0.398 0.302 0.577  0.03
Tl1 0.696 0.392 0.360  0.00
Dy2 0.098 0.683 0.910  0.05
Tl2 0.311 0.622 0.158  0.00
Dy3 0.497 0.994 0.749  0.01
Tl3 0.689 0.378 0.842  0.00
Tl4 0.304 0.608 0.640  0.00
Dy4 0.602 0.698 0.423  0.03
Tl5 0.000 0.000 0.500  0.00
Dy5 0.905 0.302 0.577  0.03
Ni1 0.314 0.000 0.000  0.03
Dy6 0.987 0.974 0.168  0.08
Dy7 0.503 0.006 0.251  0.01
Dy8 0.013 0.026 0.832  0.08
Dy9 0.415 0.317 0.090  0.05
Dy10 0.902 0.317 0.090  0.05
Dy11 0.585 0.683 0.910  0.05
Ni2 0.686 0.000 0.000  0.03
Dy12 0.095 0.698 0.423  0.03

Its density of states at the Fermi level is 18.8 states/eV per cell. Its formation energy is -0.098 eV/atom. As for the total magnetic moment: 0.85 μB per cell. For the total DFT energy (no corrections), the calculation gives -80.5 eV/cell.

***

No. 11
This record from the Alexandria database describes Rb3Ho3CrS8 after structural relaxation. The functional is PBE-GGA.

a = 7.798 Å, b = 7.801 Å, c = 9.063 Å
α = 115.52°, β = 90.00°, γ = 119.99°
Site moments in Bohr magnetons follow the coordinates.
Fractional positions:
Ho1 0.500 0.500 0.500  0.01
S1 0.244 0.033 0.323  -0.06
Cr1 0.000 0.000 0.500  2.46
S2 0.211 0.421 0.677  -0.06
Ho2 0.500 0.000 0.500  0.01
Rb1 0.000 0.500 0.000  0.00
S3 0.211 0.967 0.677  -0.06
S4 0.731 0.462 0.693  -0.03
S5 0.789 0.033 0.323  -0.06
S6 0.789 0.579 0.323  -0.06
Rb2 0.000 0.000 0.000  0.00
Ho3 0.000 0.500 0.500  0.01
Rb3 0.500 0.500 0.000  0.00
S7 0.756 0.967 0.677  -0.06
S8 0.269 0.538 0.307  -0.03

Its density of states at the Fermi level is 7.8 states/eV per cell. As for the total magnetic moment: 2.03 μB per cell. For the total DFT energy (no corrections), the calculation gives -82.2 eV/cell.

***

No. 12
This record from the Alexandria database describes RbIn3Au after structural relaxation. The functional is PBE-GGA.

a = 5.553 Å, b = 5.553 Å, c = 5.553 Å
α = 90.00°, β = 90.00°, γ = 90.00°
Fractional positions:
Au1 0.000 0.000 0.000
Rb1 0.500 0.500 0.500
In1 0.000 0.500 0.000
In2 0.000 0.000 0.500
In3 0.500 0.000 0.000

Its density of states at the Fermi level is 4.1 states/eV per cell. Its formation energy is 0.008 eV/atom. As for the total magnetic moment: 0.00 μB per cell. For the total DFT energy (no corrections), the calculation gives -12.4 eV/cell.